No. 1
{
  "formula": "Li6Te2S",
  "functional": "PBE",
  "state": "optimized geometry",
  "sg": "No. 139",
  "e_form_raw_mev_per_atom": -1099,
  "lattice_angstrom": [[-2.2028, 2.2028, 9.5187], [2.2028, -2.2028, 9.5187], [2.2028, 2.2028, -9.5187]],
  "species": ["Li", "Li", "Li", "Li", "Li", "Li", "Te", "Te", "S"],
  "frac_coords": [[0.0735, 0.5735, 0.5000], [0.2500, 0.7500, 0.5000], [0.4265, 0.9265, 0.5000], [0.5735, 0.0735, 0.5000], [0.7500, 0.2500, 0.5000], [0.9265, 0.4265, 0.5000], [0.1617, 0.1617, 0.0000], [0.8383, 0.8383, 0.0000], [0.5000, 0.5000, 0.0000]]
}

=====

No. 2
{
  "formula": "MgGaP2",
  "functional": "PBE",
  "state": "optimized geometry",
  "sg": "No. 122",
  "relative_energy_mev_per_atom": 0,
  "lattice_angstrom": [[-2.9252, 2.9252, 5.3285], [2.9252, -2.9252, 5.3285], [2.9252, 2.9252, -5.3285]],
  "species": ["Mg", "Mg", "Ga", "Ga", "P", "P", "P", "P"],
  "frac_coords": [[0.0000, 0.0000, 0.0000], [0.7500, 0.2500, 0.5000], [0.2500, 0.7500, 0.5000], [0.5000, 0.5000, 0.0000], [0.1511, 0.6250, 0.0261], [0.3750, 0.4011, 0.5261], [0.5989, 0.1250, 0.9739], [0.8750, 0.8489, 0.4739]]
}

=====

No. 3
{
  "formula": "Sr2CaLa",
  "functional": "PBE",
  "state": "optimized geometry",
  "sg": "No. 99",
  "relative_energy_mev_per_atom": 0,
  "lattice_angstrom": [[4.1073, 0.0000, 0.0000], [0.0000, 4.1073, 0.0000], [0.0000, 0.0000, 10.9727]],
  "species": ["Sr", "Sr", "Ca", "La"],
  "frac_coords": [[0.0000, 0.0000, 0.0000], [0.5000, 0.5000, 0.2846], [0.0000, 0.0000, 0.5353], [0.5000, 0.5000, 0.7512]]
}

=====

No. 4
{
  "formula": "Sr2CaSb",
  "functional": "PBE",
  "state": "optimized geometry",
  "sg": "No. 123",
  "e_form_raw_mev_per_atom": -488,
  "lattice_angstrom": [[5.3164, 0.0000, 0.0000], [0.0000, 5.3164, 0.0000], [0.0000, 0.0000, 5.1198]],
  "species": ["Sr", "Sr", "Ca", "Sb"],
  "frac_coords": [[0.0000, 0.5000, 0.0000], [0.5000, 0.0000, 0.0000], [0.0000, 0.0000, 0.5000], [0.5000, 0.5000, 0.5000]]
}

=====

No. 5
{
  "formula": "YPSe2",
  "functional": "PBE",
  "state": "optimized geometry",
  "sg": "No. 119",
  "e_form_raw_mev_per_atom": -660,
  "lattice_angstrom": [[-2.0083, 2.0083, 5.2087], [2.0083, -2.0083, 5.2087], [2.0083, 2.0083, -5.2087]],
  "species": ["Y", "P", "Se", "Se"],
  "frac_coords": [[0.0000, 0.0000, 0.0000], [0.2500, 0.7500, 0.5000], [0.5000, 0.5000, 0.0000], [0.7500, 0.2500, 0.5000]]
}

=====

No. 6
{
  "formula": "LiSiW2",
  "functional": "PBE",
  "state": "optimized geometry",
  "sg": "No. 166",
  "e_form_raw_mev_per_atom": 342,
  "lattice_angstrom": [[1.3948, 0.8053, 9.1555], [-1.3948, 0.8053, 9.1555], [0.0000, -1.6106, 9.1555]],
  "species": ["Li", "Si", "W", "W"],
  "frac_coords": [[0.0000, 0.0000, 0.0000], [0.5000, 0.5000, 0.5000], [0.2439, 0.2439, 0.2439], [0.7561, 0.7561, 0.7561]]
}

=====

No. 7
{
  "formula": "ReAsPt2",
  "functional": "PBE",
  "state": "optimized geometry",
  "sg": "No. 47",
  "total_energy_ev_per_atom": -7.137,
  "lattice_angstrom": [[2.8162, 0.0000, 0.0000], [0.0000, 4.0489, 0.0000], [0.0000, 0.0000, 5.5297]],
  "species": ["Re", "As", "Pt", "Pt"],
  "frac_coords": [[0.0000, 0.0000, 0.0000], [0.0000, 0.0000, 0.5000], [0.5000, 0.5000, 0.2391], [0.5000, 0.5000, 0.7609]]
}

=====

No. 8
{
  "formula": "BaScMn",
  "functional": "PBE",
  "state": "optimized geometry",
  "sg": "No. 107",
  "relative_energy_mev_per_atom": 0,
  "lattice_angstrom": [[-1.8243, 1.8243, 6.6231], [1.8243, -1.8243, 6.6231], [1.8243, 1.8243, -6.6231]],
  "species": ["Ba", "Sc", "Mn"],
  "frac_coords": [[0.0000, 0.0000, 0.0000], [0.7244, 0.7244, 0.0000], [0.3198, 0.3198, 0.0000]]
}

=====

No. 9
{
  "formula": "Bi2AsIr",
  "functional": "PBE",
  "state": "optimized geometry",
  "sg": "No. 122",
  "total_energy_ev_per_atom": -4.956,
  "lattice_angstrom": [[-3.2154, 3.2154, 6.2038], [3.2154, -3.2154, 6.2038], [3.2154, 3.2154, -6.2038]],
  "species": ["Bi", "Bi", "Bi", "Bi", "As", "As", "Ir", "Ir"],
  "frac_coords": [[0.0945, 0.6250, 0.9695], [0.3750, 0.3445, 0.4695], [0.6555, 0.1250, 0.0305], [0.8750, 0.9055, 0.5305], [0.2500, 0.7500, 0.5000], [0.5000, 0.5000, 0.0000], [0.0000, 0.0000, 0.0000], [0.7500, 0.2500, 0.5000]]
}

=====

No. 10
{
  "formula": "ZnAg2BP",
  "functional": "PBE",
  "state": "optimized geometry",
  "sg": "No. 123",
  "total_energy_ev_per_atom": -3.123,
  "lattice_angstrom": [[4.5031, 0.0000, 0.0000], [0.0000, 4.5031, 0.0000], [0.0000, 0.0000, 4.0432]],
  "species": ["Zn", "Ag", "Ag", "B", "P"],
  "frac_coords": [[0.0000, 0.0000, 0.0000], [0.0000, 0.5000, 0.5000], [0.5000, 0.0000, 0.5000], [0.0000, 0.0000, 0.5000], [0.5000, 0.5000, 0.0000]]
}

=====

No. 11
{
  "formula": "LaPr4Sm",
  "functional": "PBE",
  "state": "optimized geometry",
  "sg": "No. 216",
  "relative_energy_mev_per_atom": 188,
  "lattice_angstrom": [[0.0000, 4.7963, 4.7963], [4.7963, 0.0000, 4.7963], [4.7963, 4.7963, 0.0000]],
  "species": ["La", "Pr", "Pr", "Pr", "Pr", "Sm"],
  "frac_coords": [[0.0000, 0.0000, 0.0000], [0.1269, 0.6244, 0.6244], [0.6244, 0.1269, 0.6244], [0.6244, 0.6244, 0.1269], [0.6244, 0.6244, 0.6244], [0.2500, 0.2500, 0.2500]]
}

=====

No. 12
{
  "formula": "InNi3As",
  "functional": "PBE",
  "state": "optimized geometry",
  "sg": "No. 221",
  "relative_energy_mev_per_atom": 1281,
  "lattice_angstrom": [[4.6332, 0.0000, 0.0000], [0.0000, 4.6332, 0.0000], [0.0000, 0.0000, 4.6332]],
  "species": ["In", "Ni", "Ni", "Ni", "As"],
  "frac_coords": [[0.0000, 0.0000, 0.0000], [0.0000, 0.0000, 0.5000], [0.0000, 0.5000, 0.0000], [0.5000, 0.0000, 0.0000], [0.5000, 0.5000, 0.5000]]
}

=====

no.,volume (Å³/cell),Fermi-level density of states (states/eV/cell)
1,184.8,0.0
2,182.4,6.1
3,185.1,6.5
4,144.7,2.6
5,84.0,2.5
6,61.7,2.8
7,63.1,3.2
8,88.2,4.5
9,256.6,0.8
10,82.0,2.7
11,220.7,10.5
12,99.5,3.7